Entry 1:
Th2GaCoIr6 after structural relaxation, computed with GGA-PBE.

```
data_Th2GaCoIr6
_chemical_formula_sum 'Th2 Ga1 Co1 Ir6'
_space_group_name_H-M_alt 'P 1'
_space_group_IT_number 1
_space_group_name_Hall 'P 1'
_cell_length_a 6.496
_cell_length_b 6.496
_cell_length_c 6.496
_cell_angle_alpha 60.00
_cell_angle_beta 60.00
_cell_angle_gamma 60.00
loop_
_atom_site_label
_atom_site_type_symbol
_atom_site_fract_x
_atom_site_fract_y
_atom_site_fract_z
Th1 Th 0.250 0.250 0.250
Th2 Th 0.750 0.750 0.750
Ga1 Ga 0.000 0.000 0.000
Co1 Co 0.500 0.500 0.500
Ir1 Ir 0.251 0.251 0.749
Ir2 Ir 0.251 0.749 0.251
Ir3 Ir 0.251 0.749 0.749
Ir4 Ir 0.749 0.251 0.251
Ir5 Ir 0.749 0.251 0.749
Ir6 Ir 0.749 0.749 0.251
```

***

Entry 2:
Fe3PRu after structural relaxation, computed with GGA-PBE.

Output
energy relative to the lowest polymorph listed for this composition	0	meV per atom

```
data_Fe3PRu
_chemical_formula_sum 'Fe3 P1 Ru1'
_space_group_name_H-M_alt 'P 1'
_space_group_IT_number 1
_space_group_name_Hall 'P 1'
_cell_length_a 4.038
_cell_length_b 4.038
_cell_length_c 4.038
_cell_angle_alpha 90.00
_cell_angle_beta 90.00
_cell_angle_gamma 90.00
loop_
_atom_site_label
_atom_site_type_symbol
_atom_site_fract_x
_atom_site_fract_y
_atom_site_fract_z
Fe1 Fe 0.000 0.000 0.500
Fe2 Fe 0.000 0.500 0.000
Fe3 Fe 0.500 0.000 0.000
P1 P 0.000 0.000 0.000
Ru1 Ru 0.500 0.500 0.500
```

***

| no. | D(E_F) (states/eV/atom) | VASP energy (eV per atom) |
| --- | --- | --- |
| 1 | 0.568 | -7.711 |
| 2 | 3.141 | -7.265 |